# 1
A geometry-optimized Tb3Er2Ru3 structure, computed with GGA-PBE.

Cell: 3.4627 5.1098 10.7438 Å, 103.76 99.27 90.00°
Closest atoms and distances in Å follow each position.
Element x y z (fractional)
Tb (0.6114, 0.6114, 0.2228)  6 Ru 2.87-3.09
Tb (0.3886, 0.3886, 0.7772)  6 Ru 2.87-3.09
Tb (0.5000, 0.0000, 0.0000)  8 Ru 2.95-3.09
Er (0.7193, 0.2193, 0.4387)  2 Ru 2.74
Er (0.2807, 0.7807, 0.5613)  2 Ru 2.74
Ru (0.1161, 0.1161, 0.2321)  2 Er 2.74, 2 Tb 2.95
Ru (0.0000, 0.5000, 0.0000)  8 Tb 2.87-3.09
Ru (0.8839, 0.8839, 0.7679)  2 Er 2.74, 2 Tb 2.95

## Properties
As for the space group: Immm, No. 71. Its density of states at the Fermi level is 0.54 states/eV per atom. The value obtained for the formation energy is -0.284 eV per atom.

***

# 2
A geometry-optimized HfZr2NbN structure, computed with GGA-PBE.

Cell: 4.5459 4.5459 4.3939 Å, 90.00 90.00 90.00°
Closest atoms and distances in Å follow each position.
Element x y z (fractional)
Nb (0.5000, 0.5000, 0.5000)  8 Zr 3.16, 4 Hf 3.21
Hf (0.0000, 0.0000, 0.5000)  2 N 2.20
Zr (0.0000, 0.5000, 0.0000)  2 N 2.27
Zr (0.5000, 0.0000, 0.0000)  2 N 2.27
N (0.0000, 0.0000, 0.0000)  2 Hf 2.20, 4 Zr 2.27

## Properties
Its energy above the most stable polymorph in this dataset is 0.0 meV per atom. As for the space group: P4/mmm, No. 123. The raw formation energy is -0.680 eV per atom. Its density of states at the Fermi level is 0.54 states/eV per atom.

***

# 3
A geometry-optimized AcPmGdSn structure, computed with GGA-PBE.

Cell: 5.6267 5.6267 5.6267 Å, 60.00 60.00 60.00°
Closest atoms and distances in Å follow each position.
Element x y z (fractional)
Ac (0.7500, 0.7500, 0.7500)  4 Gd 3.45, 4 Pm 3.45
Gd (0.0000, 0.0000, 0.0000)  4 Sn 3.45, 4 Ac 3.45
Sn (0.2500, 0.2500, 0.2500)  4 Pm 3.45, 4 Gd 3.45
Pm (0.5000, 0.5000, 0.5000)  4 Ac 3.45, 4 Sn 3.45

## Properties
As for the space group: F-43m, No. 216. Its density of states at the Fermi level is 1.32 states/eV per atom. The value obtained for the formation energy is -0.209 eV per atom.

***

# 4
A geometry-optimized Tc3Pb structure, computed with GGA-PBE.

Cell: 4.0535 4.0535 4.0535 Å, 90.00 90.00 90.00°
Closest atoms and distances in Å follow each position.
Element x y z (fractional)
Pb (0.0000, 0.0000, 0.0000)  12 Tc 2.87
Tc (0.0000, 0.5000, 0.5000)  8 Tc 2.87, 4 Pb 2.87
Tc (0.5000, 0.0000, 0.5000)  8 Tc 2.87, 4 Pb 2.87
Tc (0.5000, 0.5000, 0.0000)  8 Tc 2.87, 4 Pb 2.87

## Properties
Its energy above the most stable polymorph in this dataset is 264.4 meV per atom. As for the space group: Pm-3m, No. 221. Its density of states at the Fermi level is 1.53 states/eV per atom. The value obtained for the formation energy is 0.745 eV per atom.

***

# 5
A geometry-optimized CuBi2Pd6 structure, computed with GGA-PBE.

Cell: 5.9043 5.6578 5.6578 Å, 59.99 90.01 90.01°
Closest atoms and distances in Å follow each position.
Element x y z (fractional)
Cu (0.0000, 0.0000, 0.0000)  6 Pd 2.50
Bi (0.8283, 0.6664, 0.6664)  9 Pd 2.95-3.28
Bi (0.1717, 0.3336, 0.3336)  9 Pd 2.95-3.28
Pd (0.3134, 0.3425, 0.8291)  1 Cu 2.50, 4 Pd 2.75-2.77
Pd (0.3131, 0.8290, 0.8290)  1 Cu 2.50, 4 Pd 2.75-2.77
Pd (0.3134, 0.8291, 0.3425)  1 Cu 2.50, 4 Pd 2.75-2.77
Pd (0.6866, 0.6575, 0.1709)  1 Cu 2.50, 4 Pd 2.75-2.77
Pd (0.6869, 0.1710, 0.1710)  1 Cu 2.50, 4 Pd 2.75-2.77
Pd (0.6866, 0.1709, 0.6575)  1 Cu 2.50, 4 Pd 2.75-2.77

## Properties
As for the space group: P-3m1, No. 164. Its density of states at the Fermi level is 0.37 states/eV per atom. The value obtained for the formation energy is -0.097 eV per atom.

***

# 6
A geometry-optimized HgIClO4 structure, computed with GGA-PBE.

Cell: 7.1323 7.1323 7.8349 Å, 64.33 64.33 69.17°
Closest atoms and distances in Å follow each position.
Element x y z (fractional)
Hg (0.1955, 0.1955, 0.8333)  1 O 2.12, 1 Cl 2.34
Hg (0.8045, 0.8045, 0.1667)  1 O 2.12, 1 Cl 2.34
I (0.6220, 0.6220, 0.7093)  4 O 1.79-1.85
I (0.3780, 0.3780, 0.2907)  4 O 1.79-1.85
Cl (0.0535, 0.0535, 0.1822)  1 Hg 2.34
Cl (0.9465, 0.9465, 0.8178)  1 Hg 2.34
O (0.3646, 0.3646, 0.5368)  1 I 1.85
O (0.6354, 0.6354, 0.4632)  1 I 1.85
O (0.1145, 0.4804, 0.2778)  1 I 1.79
O (0.5571, 0.5571, 0.1278)  1 I 1.80
O (0.5196, 0.8855, 0.7222)  1 I 1.79
O (0.4804, 0.1145, 0.2778)  1 I 1.79
O (0.4429, 0.4429, 0.8722)  1 I 1.80
O (0.8855, 0.5196, 0.7222)  1 I 1.79

## Properties
As for the space group: C2/m, No. 12. The raw formation energy is -0.152 eV per atom.

***

# 7
A geometry-optimized Nd6IrRu2 structure, computed with GGA-PBE.

Cell: 6.8417 7.5284 10.0148 Å, 90.00 89.45 90.00°
Closest atoms and distances in Å follow each position.
Element x y z (fractional)
Nd (0.8362, 0.9426, 0.2436)  2 Ru 2.84-2.85, 1 Ir 2.84
Nd (0.8252, 0.6722, 0.5693)  1 Ir 2.83, 1 Ru 2.86
Nd (0.8417, 0.6709, 0.9226)  1 Ir 2.77, 2 Ru 2.98-3.09
Nd (0.6583, 0.1709, 0.5774)  1 Ir 2.77, 2 Ru 2.98-3.09
Nd (0.6748, 0.1722, 0.9307)  1 Ir 2.83, 1 Ru 2.86
Nd (0.6638, 0.4426, 0.2564)  2 Ru 2.84-2.85, 1 Ir 2.84
Nd (0.1638, 0.0574, 0.7564)  2 Ru 2.84-2.85, 1 Ir 2.84
Nd (0.1748, 0.3278, 0.4307)  1 Ir 2.83, 1 Ru 2.86
Nd (0.1583, 0.3291, 0.0774)  1 Ir 2.77, 2 Ru 2.98-3.09
Nd (0.3417, 0.8291, 0.4226)  1 Ir 2.77, 2 Ru 2.98-3.09
Nd (0.3252, 0.8278, 0.0693)  1 Ir 2.83, 1 Ru 2.86
Nd (0.3362, 0.5574, 0.7436)  2 Ru 2.84-2.85, 1 Ir 2.84
Ir (0.5000, 0.5000, 0.0000)  6 Nd 2.77-2.84
Ir (0.0000, 0.0000, 0.5000)  6 Nd 2.77-2.84
Ru (0.9659, 0.3883, 0.7319)  5 Nd 2.84-3.09
Ru (0.5341, 0.8883, 0.7681)  5 Nd 2.84-3.09
Ru (0.4659, 0.1117, 0.2319)  5 Nd 2.84-3.09
Ru (0.0341, 0.6117, 0.2681)  5 Nd 2.84-3.09

## Properties
Its energy above the most stable polymorph in this dataset is 9.0 meV per atom. As for the space group: P2_1/c, No. 14. Its density of states at the Fermi level is 0.59 states/eV per atom. The value obtained for the formation energy is -0.259 eV per atom.

***

# 8
A geometry-optimized Al2NiAu structure, computed with GGA-PBE.

Cell: 3.9216 3.9216 8.9561 Å, 77.35 77.35 90.00°
Closest atoms and distances in Å follow each position.
Element x y z (fractional)
Ni (0.5000, 0.5000, 0.0000)  4 Al 2.51, 4 Au 2.77
Ni (0.2500, 0.7500, 0.5000)  4 Al 2.51, 4 Au 2.77
Au (0.0000, 0.0000, 0.0000)  4 Al 2.57, 4 Ni 2.77
Au (0.7500, 0.2500, 0.5000)  4 Al 2.57, 4 Ni 2.77
Al (0.6058, 0.1250, 0.2500)  2 Ni 2.51, 2 Au 2.57, 2 Al 2.67
Al (0.1442, 0.6250, 0.2500)  2 Ni 2.51, 2 Au 2.57, 2 Al 2.67
Al (0.3750, 0.3942, 0.7500)  2 Ni 2.51, 2 Au 2.57, 2 Al 2.67
Al (0.8750, 0.8558, 0.7500)  2 Ni 2.51, 2 Au 2.57, 2 Al 2.67

## Properties
As for the space group: I-42d, No. 122. Its density of states at the Fermi level is 0.42 states/eV per atom. The value obtained for the formation energy is -0.079 eV per atom.

***

# 9
A geometry-optimized NaSrPrAu structure, computed with GGA-PBE.

Cell: 5.5306 5.5306 5.5306 Å, 60.00 60.00 60.00°
Closest atoms and distances in Å follow each position.
Element x y z (fractional)
Pr (0.0000, 0.0000, 0.0000)  4 Au 3.39, 4 Na 3.39
Sr (0.5000, 0.5000, 0.5000)  4 Na 3.39, 4 Au 3.39
Au (0.7500, 0.7500, 0.7500)  4 Pr 3.39, 4 Sr 3.39
Na (0.2500, 0.2500, 0.2500)  4 Pr 3.39, 4 Sr 3.39

## Properties
As for the space group: F-43m, No. 216. Its density of states at the Fermi level is 0.83 states/eV per atom. The value obtained for the formation energy is -0.202 eV per atom.

***

# 10
A geometry-optimized RbCu2Pb structure, computed with GGA-PBE.

Cell: 5.3154 5.3154 9.7720 Å, 74.22 74.22 90.00°
Closest atoms and distances in Å follow each position.
Element x y z (fractional)
Pb (0.0000, 0.0000, 0.0000)  4 Cu 2.62
Pb (0.7500, 0.2500, 0.5000)  4 Cu 2.62
Cu (0.8750, 0.1250, 0.2500)  2 Pb 2.62, 2 Cu 2.66
Cu (0.8750, 0.6250, 0.2500)  2 Pb 2.62, 2 Cu 2.66
Cu (0.3750, 0.1250, 0.7500)  2 Pb 2.62, 2 Cu 2.66
Cu (0.8750, 0.1250, 0.7500)  2 Pb 2.62, 2 Cu 2.66
Rb (0.5000, 0.5000, 0.0000)  8 Cu 3.73, 4 Pb 3.76
Rb (0.2500, 0.7500, 0.5000)  8 Cu 3.73, 4 Pb 3.76

## Properties
As for the space group: I4_1/amd, No. 141. Its density of states at the Fermi level is 1.02 states/eV per atom. The value obtained for the formation energy is 0.326 eV per atom.

***

# 11
A geometry-optimized Er3Te2S2 structure, computed with GGA-PBE.

Cell: 4.1737 6.9720 7.3687 Å, 106.33 106.45 90.00°
Closest atoms and distances in Å follow each position.
Element x y z (fractional)
Er (0.0000, 0.0000, 0.0000)  2 S 2.68
Er (0.7475, 0.2643, 0.4950)  3 S 2.68-2.70
Er (0.2525, 0.7357, 0.5050)  3 S 2.68-2.70
Te (0.6085, 0.8237, 0.2170)  5 Er 3.05-3.12
Te (0.3915, 0.1763, 0.7830)  5 Er 3.05-3.12
S (0.8548, 0.6510, 0.7096)  4 Er 2.68-2.70
S (0.1452, 0.3490, 0.2904)  4 Er 2.68-2.70

## Properties
Its energy above the most stable polymorph in this dataset is 0.0 meV per atom. As for the space group: C2/m, No. 12. The raw formation energy is -1.713 eV per atom. Its density of states at the Fermi level is 0.27 states/eV per atom.

***

# 12
A geometry-optimized La2SmPbO structure, computed with GGA-PBE.

Cell: 4.9494 5.0952 5.0952 Å, 90.00 90.00 90.00°
Closest atoms and distances in Å follow each position.
Element x y z (fractional)
La (0.0000, 0.0000, 0.5000)  2 O 2.55
La (0.0000, 0.5000, 0.0000)  2 O 2.55
Sm (0.5000, 0.0000, 0.0000)  2 O 2.47
Pb (0.5000, 0.5000, 0.5000)  8 La 3.55, 4 Sm 3.60
O (0.0000, 0.0000, 0.0000)  2 Sm 2.47, 4 La 2.55

## Properties
As for the space group: P4/mmm, No. 123. The raw formation energy is -1.425 eV per atom. Its density of states at the Fermi level is 0.93 states/eV per atom.

***

Number 1: total energy -53.116 eV for the cell shown, size of the total moment 0.000 μB/f.u.. Number 2: total energy -48.844 eV for the cell shown, size of the total moment 0.000 μB/f.u.. Number 3: total energy -27.780 eV for the cell shown, size of the total moment 7.887 μB/f.u.. Number 4: total energy -31.825 eV for the cell shown, size of the total moment 1.966 μB/f.u.. Number 5: total energy -43.891 eV for the cell shown, size of the total moment 0.000 μB/f.u.. Number 6: total energy -49.190 eV for the cell shown, size of the total moment 0.000 μB/f.u.. Number 7: total energy -116.695 eV for the cell shown, size of the total moment 0.000 μB/f.u.. Number 8: total energy -33.719 eV for the cell shown, size of the total moment 0.000 μB/f.u.. Number 9: total energy -11.867 eV for the cell shown, size of the total moment 0.000 μB/f.u.. Number 10: total energy -23.132 eV for the cell shown, size of the total moment 0.000 μB/f.u.. Number 11: total energy -40.215 eV for the cell shown, size of the total moment 0.000 μB/f.u.. Number 12: total energy -30.368 eV for the cell shown, size of the total moment 0.000 μB/f.u..